1.
VASP calculation (GGA-PBE) on crystalline NbAs2Ru at its relaxed geometry.

Cell: 5.703 5.703 11.121 Å, 90.00 90.00 90.00°
Sites, in units of the cell vectors:
Nb 0.000 0.000 0.000
Nb 0.000 0.500 0.250
Nb 0.500 0.000 0.750
Nb 0.500 0.500 0.500
As 0.226 0.250 0.625
As 0.250 0.726 0.875
As 0.250 0.774 0.375
As 0.274 0.250 0.125
As 0.726 0.750 0.125
As 0.750 0.226 0.375
As 0.750 0.274 0.875
As 0.774 0.750 0.625
Ru 0.000 0.000 0.500
Ru 0.000 0.500 0.750
Ru 0.500 0.000 0.250
Ru 0.500 0.500 0.000

Values from the calculation:
The calculation puts the energy above the most stable polymorph in this dataset at 413.5 meV/atom.

2.
VASP calculation (GGA-PBE) on crystalline Ag2HgOs at its relaxed geometry.

Cell: 2.836 2.836 8.757 Å, 90.00 90.00 90.00°
Sites, in units of the cell vectors:
Ag 0.000 0.000 0.000
Ag 0.500 0.500 0.249
Hg 0.000 0.000 0.515
Os 0.500 0.500 0.765

| no. | energy of formation from the pure elements (eV/atom) |
| --- | --- |
| 1 | 0.2256 |
| 2 | 0.6104 |